Here is an optimized crystal structure of V2HgCl6 from the Alexandria database. Energies are from PBE.

Geometry as CIF:
```
data_V2HgCl6
_chemical_formula_sum 'V8 Hg4 Cl24'
_symmetry_space_group_name_H-M 'C 1 2/c 1'
_symmetry_Int_Tables_number 15
_symmetry_space_group_name_Hall '-C 2yc'
_cell_length_a 18.0989
_cell_length_b 10.9706
_cell_length_c 5.8654
_cell_angle_alpha 90.00
_cell_angle_beta 101.37
_cell_angle_gamma 90.00
loop_
_atom_site_label
_atom_site_type_symbol
_atom_site_fract_x
_atom_site_fract_y
_atom_site_fract_z
V1 V 0.1778 0.1365 0.4566
Hg1 Hg 0.0000 0.4988 0.2500
Cl1 Cl 0.0710 0.1957 0.5482
Cl2 Cl 0.1714 0.0708 0.0828
Cl3 Cl 0.2016 0.3427 0.3244
```

Summary:
Total energy   -4.310 eV/atom